Below is crystalline TmAlGa4Fe at its relaxed geometry, with properties calculated at the PBE level. Values from VASP.

Quantum ESPRESSO input file:
```
&SYSTEM
  ibrav = 0, nat = 7, ntyp = 4
/
ATOMIC_SPECIES
Tm 168.93 Tm.upf
Al 26.98 Al.upf
Ga 69.72 Ga.upf
Fe 55.84 Fe.upf
CELL_PARAMETERS angstrom
4.215 0.000 0.000
0.000 4.215 0.000
0.000 0.000 6.737
ATOMIC_POSITIONS crystal
Tm 0.000 0.000 0.000
Al 0.500 0.500 0.000
Ga 0.000 0.500 0.308
Ga 0.000 0.500 0.692
Ga 0.500 0.000 0.308
Ga 0.500 0.000 0.692
Fe 0.000 0.000 0.500
```


Below is crystalline Zr2AlGaFe4 at its relaxed geometry, with properties calculated at the PBE level. Values from VASP.

Quantum ESPRESSO input file:
```
&SYSTEM
  ibrav = 0, nat = 8, ntyp = 4
/
ATOMIC_SPECIES
Zr 91.22 Zr.upf
Al 26.98 Al.upf
Ga 69.72 Ga.upf
Fe 55.84 Fe.upf
CELL_PARAMETERS angstrom
4.227 0.000 0.000
-2.113 3.661 0.000
0.000 0.000 7.793
ATOMIC_POSITIONS crystal
Zr 0.333 0.667 0.250
Zr 0.667 0.333 0.750
Al 0.000 0.000 0.000
Ga 0.000 0.000 0.500
Fe 0.333 0.667 0.589
Fe 0.333 0.667 0.914
Fe 0.667 0.333 0.086
Fe 0.667 0.333 0.411
```


Below is crystalline NdGdAl4Fe2 at its relaxed geometry, with properties calculated at the PBE level. Values from VASP.

Quantum ESPRESSO input file:
```
&SYSTEM
  ibrav = 0, nat = 8, ntyp = 4
/
ATOMIC_SPECIES
Nd 144.24 Nd.upf
Gd 157.25 Gd.upf
Al 26.98 Al.upf
Fe 55.84 Fe.upf
CELL_PARAMETERS angstrom
7.113 0.000 0.000
0.000 2.034 5.177
0.000 -2.034 5.177
ATOMIC_POSITIONS crystal
Nd 0.000 0.000 0.000
Gd 0.500 0.883 0.883
Al 0.196 0.279 0.279
Al 0.310 0.604 0.604
Al 0.690 0.604 0.604
Al 0.804 0.279 0.279
Fe 0.000 0.727 0.727
Fe 0.500 0.157 0.157
```


Below is crystalline PrGdAl2Fe4 at its relaxed geometry, with properties calculated at the PBE level. Values from VASP.

Quantum ESPRESSO input file:
```
&SYSTEM
  ibrav = 0, nat = 8, ntyp = 4
/
ATOMIC_SPECIES
Pr 140.91 Pr.upf
Gd 157.25 Gd.upf
Al 26.98 Al.upf
Fe 55.84 Fe.upf
CELL_PARAMETERS angstrom
4.208 0.000 0.000
-2.104 3.644 0.000
0.000 0.000 9.648
ATOMIC_POSITIONS crystal
Pr 0.000 0.000 0.000
Gd 0.667 0.333 0.500
Al 0.333 0.667 0.258
Al 0.333 0.667 0.742
Fe 0.000 0.000 0.295
Fe 0.000 0.000 0.705
Fe 0.667 0.333 0.217
Fe 0.667 0.333 0.783
```


Below is crystalline TbGdAl4Fe2 at its relaxed geometry, with properties calculated at the PBE level. Values from VASP.

Quantum ESPRESSO input file:
```
&SYSTEM
  ibrav = 0, nat = 8, ntyp = 4
/
ATOMIC_SPECIES
Tb 158.93 Tb.upf
Gd 157.25 Gd.upf
Al 26.98 Al.upf
Fe 55.84 Fe.upf
CELL_PARAMETERS angstrom
7.070 0.000 0.000
0.000 2.025 5.082
0.000 -2.025 5.082
ATOMIC_POSITIONS crystal
Tb 0.000 0.000 0.000
Gd 0.500 0.877 0.877
Al 0.193 0.280 0.280
Al 0.306 0.597 0.597
Al 0.694 0.597 0.597
Al 0.807 0.280 0.280
Fe 0.000 0.725 0.725
Fe 0.500 0.152 0.152
```


Below is crystalline GdTmAl4Fe2 at its relaxed geometry, with properties calculated at the PBE level. Values from VASP.

Quantum ESPRESSO input file:
```
&SYSTEM
  ibrav = 0, nat = 8, ntyp = 4
/
ATOMIC_SPECIES
Gd 157.25 Gd.upf
Tm 168.93 Tm.upf
Al 26.98 Al.upf
Fe 55.84 Fe.upf
CELL_PARAMETERS angstrom
7.039 0.000 0.000
0.000 2.016 5.017
0.000 -2.016 5.017
ATOMIC_POSITIONS crystal
Gd 0.000 0.000 0.000
Tm 0.500 0.124 0.124
Al 0.196 0.718 0.718
Al 0.309 0.406 0.406
Al 0.691 0.406 0.406
Al 0.804 0.718 0.718
Fe 0.000 0.275 0.275
Fe 0.500 0.848 0.848
```


Below is crystalline AlFe2Ge2 at its relaxed geometry, with properties calculated at the PBE level. Values from VASP.

Quantum ESPRESSO input file:
```
&SYSTEM
  ibrav = 0, nat = 5, ntyp = 3
/
ATOMIC_SPECIES
Al 26.98 Al.upf
Fe 55.84 Fe.upf
Ge 72.64 Ge.upf
CELL_PARAMETERS angstrom
-1.958 1.958 5.036
1.958 -1.958 5.036
1.958 1.958 -5.036
ATOMIC_POSITIONS crystal
Al 0.000 0.000 0.000
Fe 0.250 0.750 0.500
Fe 0.750 0.250 0.500
Ge 0.382 0.382 0.000
Ge 0.618 0.618 0.000
```


Below is crystalline Al2FeGe at its relaxed geometry, with properties calculated at the PBE level. Values from VASP.

Quantum ESPRESSO input file:
```
&SYSTEM
  ibrav = 0, nat = 4, ntyp = 3
/
ATOMIC_SPECIES
Al 26.98 Al.upf
Fe 55.84 Fe.upf
Ge 72.64 Ge.upf
CELL_PARAMETERS angstrom
0.000 3.041 3.041
3.041 0.000 3.041
3.041 3.041 0.000
ATOMIC_POSITIONS crystal
Al 0.000 0.000 0.000
Al 0.250 0.250 0.250
Fe 0.750 0.750 0.750
Ge 0.500 0.500 0.500
```


Below is crystalline Al2Fe2Ge at its relaxed geometry, with properties calculated at the PBE level. Values from VASP.

Quantum ESPRESSO input file:
```
&SYSTEM
  ibrav = 0, nat = 5, ntyp = 3
/
ATOMIC_SPECIES
Al 26.98 Al.upf
Fe 55.84 Fe.upf
Ge 72.64 Ge.upf
CELL_PARAMETERS angstrom
-1.765 1.765 5.684
1.765 -1.765 5.684
1.765 1.765 -5.684
ATOMIC_POSITIONS crystal
Al 0.250 0.750 0.500
Al 0.750 0.250 0.500
Fe 0.098 0.098 0.000
Fe 0.902 0.902 0.000
Ge 0.500 0.500 0.000
```


Below is crystalline AlFeGe2 at its relaxed geometry, with properties calculated at the PBE level. Values from VASP.

Quantum ESPRESSO input file:
```
&SYSTEM
  ibrav = 0, nat = 4, ntyp = 3
/
ATOMIC_SPECIES
Al 26.98 Al.upf
Fe 55.84 Fe.upf
Ge 72.64 Ge.upf
CELL_PARAMETERS angstrom
0.000 3.126 3.126
3.126 0.000 3.126
3.126 3.126 0.000
ATOMIC_POSITIONS crystal
Al 0.000 0.000 0.000
Fe 0.250 0.250 0.250
Ge 0.500 0.500 0.500
Ge 0.750 0.750 0.750
```


Below is crystalline AlFeGeS4 at its relaxed geometry, with properties calculated at the PBE level. Values from VASP.

Quantum ESPRESSO input file:
```
&SYSTEM
  ibrav = 0, nat = 28, ntyp = 4
/
ATOMIC_SPECIES
Al 26.98 Al.upf
Fe 55.84 Fe.upf
Ge 72.64 Ge.upf
S 32.06 S.upf
CELL_PARAMETERS angstrom
7.080 0.000 0.000
0.000 7.080 0.000
0.000 0.000 9.851
ATOMIC_POSITIONS crystal
Al 0.239 0.239 0.375
Al 0.239 0.761 0.125
Al 0.761 0.239 0.625
Al 0.761 0.761 0.875
Fe 0.000 0.247 0.000
Fe 0.000 0.753 0.500
Fe 0.247 0.000 0.750
Fe 0.753 0.000 0.250
Ge 0.246 0.500 0.750
Ge 0.500 0.246 0.000
Ge 0.500 0.754 0.500
Ge 0.754 0.500 0.250
S 0.019 0.229 0.769
S 0.019 0.771 0.731
S 0.228 0.480 0.007
S 0.228 0.520 0.493
S 0.229 0.019 0.981
S 0.229 0.981 0.519
S 0.480 0.228 0.743
S 0.480 0.772 0.757
S 0.520 0.228 0.257
S 0.520 0.772 0.243
S 0.771 0.019 0.019
S 0.771 0.981 0.481
S 0.772 0.480 0.993
S 0.772 0.520 0.507
S 0.981 0.229 0.231
S 0.981 0.771 0.269
```

Excess energy over the best structure of this formula in the dataset ... 37.0 meV/atom


Below is crystalline AlFeGeS4 at its relaxed geometry, with properties calculated at the PBE level. Values from VASP.

Quantum ESPRESSO input file:
```
&SYSTEM
  ibrav = 0, nat = 28, ntyp = 4
/
ATOMIC_SPECIES
Al 26.98 Al.upf
Fe 55.84 Fe.upf
Ge 72.64 Ge.upf
S 32.06 S.upf
CELL_PARAMETERS angstrom
7.152 0.000 0.000
0.000 7.152 0.000
0.000 0.000 10.082
ATOMIC_POSITIONS crystal
Al 0.000 0.247 0.000
Al 0.000 0.753 0.500
Al 0.247 0.000 0.750
Al 0.753 0.000 0.250
Fe 0.251 0.251 0.375
Fe 0.251 0.749 0.125
Fe 0.749 0.251 0.625
Fe 0.749 0.749 0.875
Ge 0.248 0.500 0.750
Ge 0.500 0.248 0.000
Ge 0.500 0.752 0.500
Ge 0.752 0.500 0.250
S 0.011 0.244 0.759
S 0.011 0.756 0.741
S 0.241 0.486 0.999
S 0.241 0.514 0.501
S 0.244 0.011 0.991
S 0.244 0.989 0.509
S 0.486 0.241 0.751
S 0.486 0.759 0.749
S 0.514 0.241 0.249
S 0.514 0.759 0.251
S 0.756 0.011 0.009
S 0.756 0.989 0.491
S 0.759 0.486 0.001
S 0.759 0.514 0.499
S 0.989 0.244 0.241
S 0.989 0.756 0.259
```

Excess energy over the best structure of this formula in the dataset ... 6.3 meV/atom


| no. | electronic total energy (eV/atom) |
| --- | --- |
| 1 | -4.4541 |
| 2 | -7.3109 |
| 3 | -5.4509 |
| 4 | -6.3914 |
| 5 | -5.4626 |
| 6 | -5.4501 |
| 7 | -5.7126 |
| 8 | -4.9126 |
| 9 | -5.5726 |
| 10 | -4.9667 |
| 11 | -5.2247 |
| 12 | -5.2554 |